DFT (PBE-GGA) results for a relaxed Cs3Np2FeS6 crystal.

The total moment comes out at 6.0 Bohr magnetons per cell. The density of states at the Fermi level comes out at 1.841 states/eV/atom. The electronic total energy comes out at -149.27 eV for the cell shown.

Unit cell a=6.9343 b=12.0137 c=8.3618 alpha=90.00 beta=106.01 gamma=90.00
With the nearest neighbours (Å) after each atom.
Space group C2/m (No. 12)
Unique sites:
Cs1 0.0000 0.0000 0.0000 (multiplicity 2)  6 S 3.46-3.52
Cs2 0.0000 0.3346 0.0000 (multiplicity 4)  6 S 3.45-3.53
Np1 0.0000 0.1668 0.5000 (multiplicity 4)  6 S 2.74
Fe1 0.0000 0.5000 0.5000 (multiplicity 2)  6 S 2.66
S1 0.2211 0.3376 0.6766 (multiplicity 8)  1 Fe 2.66, 2 Np 2.74
S2 0.2342 0.0000 0.6761 (multiplicity 4)  1 Fe 2.66, 2 Np 2.74

=====

DFT (PBE-GGA) results for a relaxed CsNpFeS3 crystal.

The total moment comes out at 0.0 Bohr magnetons per cell. The density of states at the Fermi level comes out at 2.075 states/eV/atom. The electronic total energy comes out at -80.24 eV for the cell shown.

Unit cell a=9.4414 b=3.8384 c=9.4719 alpha=90.00 beta=114.08 gamma=90.00
With the nearest neighbours (Å) after each atom.
Space group P2_1/m (No. 11)
Unique sites:
Cs1 0.2116 0.2500 0.2509 (multiplicity 2)  7 S 3.51-3.61, 2 Cs 3.84, 1 Fe 3.93
Np1 0.3225 0.7500 0.8420 (multiplicity 2)  6 S 2.60-2.70
Fe1 0.0789 0.2500 0.5934 (multiplicity 2)  4 S 2.18-2.24
S1 0.1339 0.2500 0.8452 (multiplicity 2)  1 Fe 2.22
S2 0.1717 0.7500 0.5426 (multiplicity 2)  3 Fe 2.18-2.24
S3 0.4738 0.7500 0.1531 (multiplicity 2)  3 Np 2.70

=====

DFT (PBE-GGA) results for a relaxed CsNpFeS4 crystal.

The total moment comes out at 0.3 Bohr magnetons per cell. The density of states at the Fermi level comes out at 1.669 states/eV/atom. The electronic total energy comes out at -89.28 eV for the cell shown.

Unit cell a=6.3822 b=5.8615 c=9.4042 alpha=90.00 beta=105.70 gamma=90.00
With the nearest neighbours (Å) after each atom.
Space group P2_1/m (No. 11)
Unique sites:
Cs1 0.2479 0.2500 0.0469 (multiplicity 2)  8 S 3.39-3.67
Np1 0.2531 0.2500 0.5441 (multiplicity 2)  6 S 2.57-2.78
Fe1 0.2306 0.7500 0.3614 (multiplicity 2)  4 S 2.12-2.16
S1 0.0165 0.5059 0.6870 (multiplicity 4)  1 Fe 2.13
S2 0.4302 0.7500 0.5814 (multiplicity 2)  1 Fe 2.12
S3 0.4391 0.7500 0.2144 (multiplicity 2)  1 Fe 2.16

=====

DFT (PBE-GGA) results for a relaxed Cs2Np2FeSe6 crystal.

The total moment comes out at 20.4 Bohr magnetons per cell. The density of states at the Fermi level comes out at 1.860 states/eV/atom. The electronic total energy comes out at -134.85 eV for the cell shown.

Unit cell a=7.0707 b=12.1496 c=8.8874 alpha=90.00 beta=105.66 gamma=90.00
With the nearest neighbours (Å) after each atom.
Space group C2/m (No. 12)
Unique sites:
Cs1 0.0000 0.1683 0.0000 (multiplicity 4)  6 Se 3.61-3.67
Np1 0.0000 0.3327 0.5000 (multiplicity 4)  6 Se 2.83-2.84
Fe1 0.0000 0.0000 0.5000 (multiplicity 2)  6 Se 2.69-2.70
Se1 0.2208 0.1589 0.6766 (multiplicity 8)  1 Fe 2.70, 2 Np 2.83-2.84
Se2 0.2429 0.5000 0.6739 (multiplicity 4)  1 Fe 2.69, 2 Np 2.83

=====

no.,calculated volume (Å³ per atom)
1,27.90
2,26.12
3,24.19
4,33.42